(1)
SnBiSCl2 PBE optimized geometry; offset from the most stable computed form = 0.0 kJ/mol of atoms
1.0
-1.017 4.597 -2.665
-3.509 1.457 3.852
4.013 2.467 2.723
Cl Sn S Bi
2 1 1 1
direct
0.000 0.500 0.000
0.500 0.000 0.000
0.500 0.500 0.500
0.000 0.000 0.500
0.000 0.000 0.000

***

(2)
SrBiS2Cl PBE optimized geometry; offset from the most stable computed form = 93.5 kJ/mol of atoms
1.0
5.579 0.000 0.000
0.000 5.579 0.000
0.000 0.000 5.228
S Cl Sr Bi
2 1 1 1
direct
0.500 0.000 0.000
0.000 0.500 0.000
0.000 0.000 0.500
0.000 0.000 0.000
0.500 0.500 0.500

***

(3)
SrBiS2Cl PBE optimized geometry; offset from the most stable computed form = 0.0 kJ/mol of atoms
1.0
-0.483 0.321 5.305
-4.613 -5.983 -0.058
9.123 -1.687 0.933
S Bi Cl Sr
4 2 2 2
direct
0.250 0.493 0.844
0.250 0.579 0.436
0.750 0.507 0.156
0.750 0.421 0.564
0.750 0.692 0.462
0.250 0.308 0.538
0.750 0.022 0.850
0.250 0.978 0.150
0.750 0.709 0.945
0.250 0.291 0.055

***

Calculated formation energy (no corrections), -0.158; -0.284; -1.253 eV/atom (same order as the records).